Density functional theory data (PBE-GGA) for a relaxed structure of CaIn2As.

- crystal system = trigonal
- E (eV/atom) = -3.235
- symmetry = No. 166

The structure in POSCAR format:
```
CaIn2As
1.0
8.3725 -0.0156 -0.0094
7.3907 3.9341 -0.0094
7.3907 1.8372 3.4788
In Ca As
2 1 1
Cartesian
11.9609 2.9733 1.7874
22.7698 5.6603 3.4027
17.3654 4.3168 2.5950
5.7885 1.4389 0.8650
```


Density functional theory data (PBE-GGA) for a relaxed structure of CaIn2As.

- crystal system = tetragonal
- E (eV/atom) = -3.420
- symmetry = No. 139

The structure in POSCAR format:
```
CaIn2As
1.0
6.3712 0.0289 0.0000
3.4986 5.3248 0.0000
-4.9349 -2.6768 3.0124
Ca In As
1 2 1
Cartesian
3.1856 0.0144 1.5062
4.9349 2.6768 0.0000
0.0000 0.0000 0.0000
1.7493 2.6624 1.5062
```


Number 1: ρ 4.964 g/cm3, size of the total moment 0.00 μB per cell. Number 2: ρ 5.617 g/cm3, size of the total moment 0.00 μB per cell.